Record 1
YAg6Sn after structural relaxation, computed with GGA-PBE.

Lattice parameters (Å, degrees): 4.9785 6.0169 5.2554 90.00 90.00 90.00
With the nearest neighbours (Å) after each atom.
Element x y z (fractional)
Y (0.0000, 0.0000, 0.0000)  12 Ag 3.01-3.08
Ag (0.0000, 0.2575, 0.4994)  8 Ag 2.92-3.10, 2 Y 3.05, 2 Sn 3.07
Ag (0.0000, 0.5000, 0.0127)  8 Ag 2.94-3.07, 2 Sn 2.99, 2 Y 3.01
Ag (0.0000, 0.7425, 0.4994)  8 Ag 2.92-3.10, 2 Y 3.05, 2 Sn 3.07
Ag (0.5000, 0.0000, 0.6558)  8 Ag 2.91-3.17, 2 Sn 3.02, 2 Y 3.08
Ag (0.5000, 0.2534, 0.1848)  8 Ag 2.91-3.17, 2 Sn 2.96-3.07, 2 Y 3.08
Ag (0.5000, 0.7466, 0.1848)  8 Ag 2.91-3.17, 2 Sn 2.96-3.07, 2 Y 3.08
Sn (0.5000, 0.5000, 0.6964)  12 Ag 2.96-3.07

Calculated values
**Total moment**: 0.01 μB/f.u.
**E**: -28.2 eV for the cell shown


Record 2
Dy2Tm2InNi2Ge4 after structural relaxation, computed with GGA-PBE.

Lattice parameters (Å, degrees): 7.9951 7.9951 7.0418 107.75 107.75 30.56
With the nearest neighbours (Å) after each atom.
Element x y z (fractional)
Dy (0.1551, 0.1551, 0.4379)  5 Ge 2.91-3.07, 1 Ni 3.00
Dy (0.8449, 0.8449, 0.5621)  5 Ge 2.91-3.07, 1 Ni 3.00
Tm (0.0918, 0.0918, 0.8926)  7 Ge 2.95-3.29, 3 Ni 3.01-3.04
Tm (0.9082, 0.9082, 0.1074)  7 Ge 2.95-3.29, 3 Ni 3.01-3.04
In (0.5000, 0.5000, 0.5000)  4 Ge 2.86-3.12
Ni (0.2834, 0.2834, 0.8583)  4 Ge 2.39-2.54
Ni (0.7166, 0.7166, 0.1417)  4 Ge 2.39-2.54
Ge (0.2968, 0.2968, 0.2276)  3 Ni 2.42-2.54
Ge (0.4349, 0.4349, 0.8384)  1 Ni 2.39, 1 Ge 2.51
Ge (0.5651, 0.5651, 0.1616)  1 Ni 2.39, 1 Ge 2.51
Ge (0.7032, 0.7032, 0.7724)  3 Ni 2.42-2.54

Calculated values
**Energy above the most stable polymorph in this dataset**: 6.1 meV/atom
**Total moment**: 0.00 μB/f.u.
**E**: -59.0 eV for the cell shown